An optimized crystal structure of BMoO3. Source: Alexandria, functional PBE+U.

Summary:
magnetization: 0.600 μB/atom
D(E_F): 1.26 states/eV/cell
VASP energy: -6.419 eV per atom

a b c (Å): 3.4207 3.4207 3.4207
angles (deg): 90.00 90.00 90.00
Space group Pm-3m (No. 221)
Symmetry-distinct sites (fractional):
B: 0.0000 0.0000 0.0000 [1 per cell]
Mo: 0.5000 0.5000 0.5000 [1 per cell]
O: 0.0000 0.0000 0.5000 [3 per cell]

=====

An optimized crystal structure of Cs2HgMoF6. Source: Alexandria, functional PBE+U.

Summary:
magnetization: 0.194 μB/atom
D(E_F): 0.00 states/eV/cell
VASP energy: -4.477 eV per atom

a b c (Å): 6.5412 9.7476 8.2198
angles (deg): 90.00 90.00 90.00
Space group Pmmn (No. 59, origin choice 2)
Symmetry-distinct sites (fractional):
Cs: 0.2500 0.0118 0.2096 [4 per cell]
Hg: 0.2500 0.2500 0.6606 [2 per cell]
Mo: 0.2500 0.7500 0.8273 [2 per cell]
F: 0.0317 0.7500 0.6566 [4 per cell]
F: 0.0369 0.7500 0.0038 [4 per cell]
F: 0.2500 0.5464 0.8381 [4 per cell]